(1)
A relaxed Cs2SeIBr6 crystal. Source: the Alexandria database, functional PBE.

Structure (POSCAR):
```
Cs2SeIBr6
1.0
-5.466 4.777 3.555
-4.076 -6.520 2.493
-1.470 -0.952 8.208
Cs Br I Se
2 6 1 1
Cartesian
-5.853 1.476 7.394
-5.158 -4.172 6.863
-2.524 -0.461 1.600
-3.366 -0.906 5.231
-7.018 -1.282 4.449
-5.098 1.789 3.274
-4.443 -3.532 2.774
-7.646 -1.789 9.026
0.000 0.000 0.000
-4.771 -0.871 3.024
```

- E: -24.69 eV per cell
- Formation energy (no corrections): -0.791 eV/atom
- SG: I4/mmm, No. 139

***

(2)
A relaxed TbPrSm2 crystal. Source: the Alexandria database, functional PBE.

Structure (POSCAR):
```
TbPrSm2
1.0
-2.969 1.994 -0.693
-2.466 0.568 2.621
3.967 10.614 3.966
Sm Pr Tb
2 1 1
Cartesian
-0.397 3.244 1.456
2.553 8.226 3.153
-0.734 6.589 2.947
0.342 12.320 5.250
```

- E: -18.78 eV per cell
- Energy of formation from the pure elements: 0.0171 eV per atom
- ΔE to the lowest computed polymorph: 2 meV/atom
- SG: R3m, No. 160